[1]
# Sr2SbBr PBE relaxed
# Formation energy without anion corrections ... -1466.4 meV per atom
# Total moment ... 0.0 μB/cell
# Electronic total energy ... -3.76 eV/atom
data_Sr2SbBr
_chemical_formula_sum 'Sr16 Sb8 Br8'
_space_group_name_H-M_alt 'C 1 2/c 1'
_space_group_IT_number 15
_cell_length_a 9.378
_cell_length_b 18.788
_cell_length_c 8.216
_cell_angle_alpha 90.00
_cell_angle_beta 124.41
_cell_angle_gamma 90.00
loop_
_space_group_symop_operation_xyz
'x,y,z'
'-x,-y,-z'
'-x,y,-z+1/2'
'x,-y,z+1/2'
'x+1/2,y+1/2,z'
'-x+1/2,-y+1/2,-z'
'-x+1/2,y+1/2,-z+1/2'
'x+1/2,-y+1/2,z+1/2'
loop_
_atom_site_label
_atom_site_type_symbol
_atom_site_fract_x
_atom_site_fract_y
_atom_site_fract_z
Sr1 Sr 0.240 0.062 0.229
Sr2 Sr 0.243 0.187 0.770
Sb1 Sb 0.000 0.058 0.750
Sb2 Sb 0.000 0.317 0.750
Br1 Br 0.000 0.194 0.250
Br2 Br 0.000 0.432 0.250

=====

[2]
# Sr2Sb2Br PBE relaxed
# Formation energy without anion corrections ... -937.7 meV per atom
# Total moment ... 0.0 μB/cell
# Fermi-level density of states ... 0.379 states/eV/atom
# Electronic total energy ... -3.59 eV/atom
data_Sr2Sb2Br
_chemical_formula_sum 'Sr4 Sb4 Br2'
_space_group_name_H-M_alt 'I 4/m m m'
_space_group_IT_number 139
_space_group_name_Hall '-I 4 2'
_cell_length_a 4.541
_cell_length_b 4.541
_cell_length_c 17.694
_cell_angle_alpha 90.00
_cell_angle_beta 90.00
_cell_angle_gamma 90.00
loop_
_atom_site_label
_atom_site_type_symbol
_atom_site_fract_x
_atom_site_fract_y
_atom_site_fract_z
Sr1 Sr 0.000 0.000 0.115
Sb1 Sb 0.000 0.500 0.250
Br1 Br 0.000 0.000 0.500

=====

[3]
# SrSb2Br PBE relaxed
# Formation energy without anion corrections ... -848.2 meV per atom
# Total moment ... 0.0 μB/cell
# Fermi-level density of states ... 0.371 states/eV/atom
# Electronic total energy ... -3.75 eV/atom
data_SrSb2Br
_chemical_formula_sum 'Sr2 Sb4 Br2'
_space_group_name_H-M_alt 'C 1 2/m 1'
_space_group_IT_number 12
_cell_length_a 13.342
_cell_length_b 4.324
_cell_length_c 4.602
_cell_angle_alpha 90.00
_cell_angle_beta 100.01
_cell_angle_gamma 90.00
loop_
_space_group_symop_operation_xyz
'x,y,z'
'-x,-y,-z'
'-x,y,-z'
'x,-y,z'
'x+1/2,y+1/2,z'
'-x+1/2,-y+1/2,-z'
'-x+1/2,y+1/2,-z'
'x+1/2,-y+1/2,z'
loop_
_atom_site_label
_atom_site_type_symbol
_atom_site_fract_x
_atom_site_fract_y
_atom_site_fract_z
Sr1 Sr 0.000 0.000 0.000
Sb1 Sb 0.248 0.000 0.793
Br1 Br 0.000 0.500 0.500

=====

[4]
# SrSb2Br PBE relaxed
# Formation energy without anion corrections ... -556.9 meV per atom
# Total moment ... 0.0 μB/cell
# Fermi-level density of states ... 0.503 states/eV/atom
# Electronic total energy ... -3.46 eV/atom
data_SrSb2Br
_chemical_formula_sum 'Sr4 Sb8 Br4'
_space_group_name_H-M_alt 'F -4 3 m'
_space_group_IT_number 216
_space_group_name_Hall 'F -4 2 3'
_cell_length_a 7.899
_cell_length_b 7.899
_cell_length_c 7.899
_cell_angle_alpha 90.00
_cell_angle_beta 90.00
_cell_angle_gamma 90.00
loop_
_atom_site_label
_atom_site_type_symbol
_atom_site_fract_x
_atom_site_fract_y
_atom_site_fract_z
Sr1 Sr 0.000 0.000 0.000
Sb1 Sb 0.000 0.000 0.500
Sb2 Sb 0.250 0.250 0.750
Br1 Br 0.250 0.250 0.250

=====

[5]
# Sr2SbBr PBE relaxed
# Formation energy without anion corrections ... -1355.4 meV per atom
# Total moment ... 0.0 μB/cell
# Fermi-level density of states ... 0.000 states/eV/atom
# Electronic total energy ... -3.65 eV/atom
data_Sr2SbBr
_chemical_formula_sum 'Sr8 Sb4 Br4'
_space_group_name_H-M_alt 'F m -3 m'
_space_group_IT_number 225
_space_group_name_Hall '-F 4 2 3'
_cell_length_a 8.064
_cell_length_b 8.064
_cell_length_c 8.064
_cell_angle_alpha 90.00
_cell_angle_beta 90.00
_cell_angle_gamma 90.00
loop_
_atom_site_label
_atom_site_type_symbol
_atom_site_fract_x
_atom_site_fract_y
_atom_site_fract_z
Sr1 Sr 0.250 0.250 0.250
Sb1 Sb 0.000 0.000 0.000
Br1 Br 0.000 0.000 0.500

=====

[6]
# SrSb2Br PBE relaxed
# Formation energy without anion corrections ... -105.7 meV per atom
# Total moment ... 0.0 μB/cell
# Fermi-level density of states ... 1.364 states/eV/atom
# Electronic total energy ... -3.01 eV/atom
data_SrSb2Br
_chemical_formula_sum 'Sr4 Sb8 Br4'
_space_group_name_H-M_alt 'F m -3 m'
_space_group_IT_number 225
_space_group_name_Hall '-F 4 2 3'
_cell_length_a 7.962
_cell_length_b 7.962
_cell_length_c 7.962
_cell_angle_alpha 90.00
_cell_angle_beta 90.00
_cell_angle_gamma 90.00
loop_
_atom_site_label
_atom_site_type_symbol
_atom_site_fract_x
_atom_site_fract_y
_atom_site_fract_z
Sr1 Sr 0.000 0.000 0.000
Sb1 Sb 0.250 0.250 0.250
Br1 Br 0.000 0.000 0.500

=====

[7]
# SrSbBr2 PBE relaxed
# Formation energy without anion corrections ... -989.2 meV per atom
# Total moment ... 3.6 μB/cell
# Fermi-level density of states ... 0.377 states/eV/atom
# Electronic total energy ... -3.28 eV/atom
data_SrSbBr2
_chemical_formula_sum 'Sr3 Sb3 Br6'
_space_group_name_H-M_alt 'R -3 m'
_space_group_IT_number 166
_space_group_name_Hall '-R 3 2"'
_cell_length_a 4.1583
_cell_length_b 4.1583
_cell_length_c 34.5746
_cell_angle_alpha 90.00
_cell_angle_beta 90.00
_cell_angle_gamma 120.00
loop_
_atom_site_label
_atom_site_type_symbol
_atom_site_fract_x
_atom_site_fract_y
_atom_site_fract_z
Sr1 Sr 0.0000 0.0000 0.0000
Sb1 Sb 0.0000 0.0000 0.5000
Br1 Br 0.0000 0.0000 0.2810

=====

[8]
# SrSbBr3 PBE relaxed
# Formation energy without anion corrections ... -784.9 meV per atom
# Total moment ... 2.0 μB/cell
# Fermi-level density of states ... 1.487 states/eV/atom
# Electronic total energy ... -2.95 eV/atom
data_SrSbBr3
_chemical_formula_sum 'Sr1 Sb1 Br3'
_space_group_name_H-M_alt 'P m -3 m'
_space_group_IT_number 221
_space_group_name_Hall '-P 4 2 3'
_cell_length_a 5.928
_cell_length_b 5.928
_cell_length_c 5.928
_cell_angle_alpha 90.00
_cell_angle_beta 90.00
_cell_angle_gamma 90.00
loop_
_atom_site_label
_atom_site_type_symbol
_atom_site_fract_x
_atom_site_fract_y
_atom_site_fract_z
Sr1 Sr 0.000 0.000 0.000
Sb1 Sb 0.500 0.500 0.500
Br1 Br 0.000 0.000 0.500

=====

[9]
# SrSbBr4 PBE relaxed
# Formation energy without anion corrections ... -146.2 meV per atom
# Total moment ... 3.9 μB/cell
# Fermi-level density of states ... 0.741 states/eV/atom
# Electronic total energy ... -2.23 eV/atom
data_SrSbBr4
_chemical_formula_sum 'Sr4 Sb4 Br16'
_space_group_name_H-M_alt 'F -4 3 m'
_space_group_IT_number 216
_space_group_name_Hall 'F -4 2 3'
_cell_length_a 9.191
_cell_length_b 9.191
_cell_length_c 9.191
_cell_angle_alpha 90.00
_cell_angle_beta 90.00
_cell_angle_gamma 90.00
loop_
_atom_site_label
_atom_site_type_symbol
_atom_site_fract_x
_atom_site_fract_y
_atom_site_fract_z
Sr1 Sr 0.000 0.000 0.000
Sb1 Sb 0.250 0.250 0.250
Br1 Br 0.126 0.126 0.626

=====

[10]
# SrSb2Br PBE relaxed
# Formation energy without anion corrections ... -575.1 meV per atom
# Total moment ... 0.0 μB/cell
# Fermi-level density of states ... 0.824 states/eV/atom
# Electronic total energy ... -3.47 eV/atom
data_SrSb2Br
_chemical_formula_sum 'Sr1 Sb2 Br1'
_space_group_name_H-M_alt 'P 4/m m m'
_space_group_IT_number 123
_space_group_name_Hall '-P 4 2'
_cell_length_a 4.762
_cell_length_b 4.762
_cell_length_c 6.201
_cell_angle_alpha 90.00
_cell_angle_beta 90.00
_cell_angle_gamma 90.00
loop_
_atom_site_label
_atom_site_type_symbol
_atom_site_fract_x
_atom_site_fract_y
_atom_site_fract_z
Sr1 Sr 0.000 0.000 0.000
Sb1 Sb 0.500 0.500 0.218
Br1 Br 0.000 0.000 0.500

=====

[11]
# Sr2SbBr PBE relaxed
# Formation energy without anion corrections ... -1329.9 meV per atom
# Total moment ... 0.0 μB/cell
# Fermi-level density of states ... 0.210 states/eV/atom
# Electronic total energy ... -3.62 eV/atom
data_Sr2SbBr
_chemical_formula_sum 'Sr2 Sb1 Br1'
_space_group_name_H-M_alt 'P m m m'
_space_group_IT_number 47
_cell_length_a 4.147
_cell_length_b 4.307
_cell_length_c 8.346
_cell_angle_alpha 90.00
_cell_angle_beta 90.00
_cell_angle_gamma 90.00
loop_
_space_group_symop_operation_xyz
'x,y,z'
'-x,-y,-z'
'-x,-y,z'
'x,y,-z'
'x,-y,-z'
'-x,y,z'
'-x,y,-z'
'x,-y,z'
loop_
_atom_site_label
_atom_site_type_symbol
_atom_site_fract_x
_atom_site_fract_y
_atom_site_fract_z
Sr1 Sr 0.000 0.000 0.206
Sb1 Sb 0.500 0.500 0.000
Br1 Br 0.500 0.000 0.500

=====

[12]
# SrSb2Br PBE relaxed
# Formation energy without anion corrections ... -536.0 meV per atom
# Total moment ... 0.0 μB/cell
# Fermi-level density of states ... 0.411 states/eV/atom
# Electronic total energy ... -3.44 eV/atom
data_SrSb2Br
_chemical_formula_sum 'Sr1 Sb2 Br1'
_space_group_name_H-M_alt 'P 1 2/m 1'
_space_group_IT_number 10
_cell_length_a 3.534
_cell_length_b 5.898
_cell_length_c 6.264
_cell_angle_alpha 90.00
_cell_angle_beta 104.59
_cell_angle_gamma 90.00
loop_
_space_group_symop_operation_xyz
'x,y,z'
'-x,-y,-z'
'-x,y,-z'
'x,-y,z'
loop_
_atom_site_label
_atom_site_type_symbol
_atom_site_fract_x
_atom_site_fract_y
_atom_site_fract_z
Sr1 Sr 0.000 0.000 0.000
Sb1 Sb 0.393 0.500 0.768
Br1 Br 0.500 0.000 0.500